(1)
Below is a relaxed Li2CaNdP2 crystal, with properties calculated at the PBE level.

abc: 4.215 4.215 7.569
angles: 90.00 90.00 120.00
Fractional coordinates of all 6 atoms:
Li  0.333  0.667  0.234
Li  0.667  0.333  0.766
Ca  0.000  0.000  0.000
Nd  0.000  0.000  0.500
P  0.333  0.667  0.751
P  0.667  0.333  0.249

Computed properties:
E_form   -0.9995 eV/atom

(2)
Below is a relaxed NaMg2Ag2 crystal, with properties calculated at the PBE level.

abc: 7.025 7.025 7.025
angles: 144.10 144.10 51.68
Fractional coordinates of all 5 atoms:
Na  0.000  0.000  0.000
Mg  0.250  0.750  0.500
Mg  0.750  0.250  0.500
Ag  0.391  0.391  0.000
Ag  0.609  0.609  0.000

Computed properties:
E_form   -0.0337 eV/atom
Distance to the lowest polymorph of the same formula   101.1 meV/atom

(3)
Below is a relaxed ReSi3Pt crystal, with properties calculated at the PBE level.

abc: 4.622 4.622 4.622
angles: 90.00 90.00 90.00
Fractional coordinates of all 5 atoms:
Re  0.000  0.000  0.000
Si  0.000  0.000  0.500
Si  0.000  0.500  0.000
Si  0.500  0.000  0.000
Pt  0.500  0.500  0.500

Computed properties:
Distance to the lowest polymorph of the same formula   0.0 meV/atom
Formation energy (no corrections)   0.648 eV per atom

Number 1: raw total energy -27.4 eV for the cell shown, volume 116.5 Å³/f.u.. Number 2: raw total energy -10.4 eV for the cell shown, volume 118.6 Å³/f.u.. Number 3: raw total energy -31.5 eV for the cell shown, volume 98.7 Å³/f.u..